1.
This record from Alexandria describes a geometry-optimized BaBeB2Ir structure. The functional is PBE.

Summary:
V, Å³/atom: 18.81
Energy of formation, eV/atom: 3.17

Unit cell a=4.477 b=4.477 c=4.693 alpha=90.00 beta=90.00 gamma=90.00
Space group P4/mmm (No. 123)
Symmetry-distinct sites (fractional):
Ba1 0.000 0.000 0.000 (multiplicity 1)
Be1 0.000 0.000 0.500 (multiplicity 1)
B1 0.000 0.500 0.000 (multiplicity 2)
Ir1 0.500 0.500 0.500 (multiplicity 1)

2.
This record from Alexandria describes a geometry-optimized BaMgBeB2 structure. The functional is PBE.

Summary:
V, Å³/atom: 30.98
Energy of formation, eV/atom: 2.64

Unit cell a=4.934 b=4.934 c=6.363 alpha=90.00 beta=90.00 gamma=90.00
Space group P4/mmm (No. 123)
Symmetry-distinct sites (fractional):
Ba1 0.000 0.000 0.000 (multiplicity 1)
Mg1 0.000 0.000 0.500 (multiplicity 1)
Be1 0.500 0.500 0.500 (multiplicity 1)
B1 0.000 0.500 0.000 (multiplicity 2)